GGA+U SrMnF5, relaxed; uncorrected energy = -5.739 eV per atom; DOS(E_F) = 0.0000 states/eV per atom
1.0
5.179 -0.856 -1.685
-1.756 4.947 -1.685
-0.159 -0.190 8.915
Mn F Sr
2 10 2
Direct
0.000 0.000 0.000 Mn
0.500 0.500 0.500 Mn
0.168 0.818 0.107 F
0.318 0.668 0.607 F
0.832 0.182 0.893 F
0.350 0.231 0.994 F
0.650 0.769 0.006 F
0.269 0.150 0.506 F
0.857 0.643 0.750 F
0.143 0.357 0.250 F
0.731 0.850 0.494 F
0.682 0.332 0.393 F
0.872 0.628 0.250 Sr
0.128 0.372 0.750 Sr